(A)
DFT (PBE-GGA) results for HfCu6Pd12 after structural relaxation.

```
19
Lattice="5.972 3.448 2.260 -5.972 3.448 2.260 0.000 -6.896 2.260" Properties=species:S:1:pos:R:3 pbc="T T T"
Hf 0.000 0.000 0.000
Cu -1.878 -2.541 2.213
Cu -1.261 2.897 2.213
Cu -3.139 0.356 4.567
Cu 3.139 -0.356 2.213
Cu 1.261 -2.897 4.567
Cu 1.878 2.541 4.567
Pd -3.742 1.778 2.291
Pd 0.331 -4.130 2.291
Pd -1.605 0.133 2.272
Pd -3.411 -2.352 4.488
Pd 0.687 -1.456 2.272
Pd 0.918 1.323 2.272
Pd -0.918 -1.323 4.508
Pd -0.687 1.456 4.508
Pd 3.411 2.352 2.291
Pd 1.605 -0.133 4.508
Pd -0.331 4.130 4.488
Pd 3.742 -1.778 4.488
```

Space group: R-3
Total magnetic moment: 0.0 Bohr magnetons per cell

***

(B)
DFT (PBE-GGA) results for HfCu6Pd12 after structural relaxation.

```
19
Lattice="5.340 3.083 2.974 -5.340 3.083 2.974 0.000 -6.166 2.974" Properties=species:S:1:pos:R:3 pbc="T T T"
Hf 0.000 0.000 0.000
Cu 0.000 -1.546 2.285
Cu -1.339 0.773 2.285
Cu 1.339 0.773 2.285
Cu -1.339 -0.773 6.636
Cu 1.339 -0.773 6.636
Cu 0.000 1.546 6.636
Pd -1.378 -3.779 2.974
Pd -3.962 0.696 2.974
Pd -2.074 -1.198 4.018
Pd 1.378 -3.779 2.974
Pd -2.583 3.083 2.974
Pd 0.000 -2.395 4.902
Pd -2.074 1.198 4.902
Pd 2.074 -1.198 4.018
Pd 0.000 2.395 4.018
Pd 3.962 0.696 2.974
Pd 2.583 3.083 2.974
Pd 2.074 1.198 4.902
```

Space group: R-3m
Total magnetic moment: 0.0 Bohr magnetons per cell

***

Top of the stability list: (A), leading by 207 meV per atom.

***

(A)
DFT (PBE-GGA) results for Hf2CuPd4 after structural relaxation.

```
7
Lattice="-2.295 2.295 6.608 2.295 -2.295 6.608 2.295 2.295 -6.608" Properties=species:S:1:pos:R:3 pbc="T T T"
Hf 0.000 0.000 1.639
Hf 0.000 0.000 11.578
Cu 0.000 0.000 6.608
Pd 2.295 0.000 0.000
Pd 0.000 0.000 4.121
Pd 0.000 2.295 0.000
Pd 0.000 0.000 9.096
```

Space group: I4/mmm
Total magnetic moment: 0.0 Bohr magnetons per cell

***

(B)
DFT (PBE-GGA) results for Hf2CuPd4 after structural relaxation.

```
14
Lattice="6.619 0.000 0.000 0.000 5.231 0.000 -3.188 0.000 6.858" Properties=species:S:1:pos:R:3 pbc="T T T"
Hf 0.959 1.308 0.404
Hf 0.362 1.308 3.605
Hf 3.070 3.923 3.254
Hf 2.473 3.923 6.454
Cu 0.715 3.923 1.968
Cu 2.717 1.308 4.890
Pd -1.733 2.644 4.993
Pd -1.733 5.202 4.993
Pd 0.664 3.923 4.611
Pd 2.765 3.923 0.442
Pd 0.667 1.308 6.417
Pd 2.768 1.308 2.248
Pd 5.165 0.029 1.865
Pd 5.165 2.586 1.865
```

Space group: P2_1/m
Total magnetic moment: 0.0 Bohr magnetons per cell

***

Top of the stability list: (B), leading by 619 meV per atom.

***

(A)
DFT (PBE-GGA) results for HfCu2Pd5 after structural relaxation.

```
16
Lattice="5.514 0.000 0.000 0.000 10.980 0.000 0.000 0.000 4.018" Properties=species:S:1:pos:R:3 pbc="T T T"
Hf 0.000 0.000 0.000
Hf 2.757 5.490 0.000
Cu 1.226 4.046 2.009
Cu 1.531 9.536 2.009
Cu 3.983 1.444 2.009
Cu 4.288 6.934 2.009
Pd 0.000 5.490 0.000
Pd 0.174 8.325 0.000
Pd 1.286 1.307 2.009
Pd 1.471 6.797 2.009
Pd 2.583 2.835 0.000
Pd 2.757 0.000 0.000
Pd 2.931 8.144 0.000
Pd 4.043 4.183 2.009
Pd 4.228 9.673 2.009
Pd 5.340 2.655 0.000
```

Space group: Pbam
Total magnetic moment: 0.0 Bohr magnetons per cell

***

(B)
DFT (PBE-GGA) results for HfCu2Pd5 after structural relaxation.

```
16
Lattice="-3.343 3.343 5.540 3.343 -3.343 5.540 3.343 3.343 -5.540" Properties=species:S:1:pos:R:3 pbc="T T T"
Hf 0.000 0.000 2.770
Hf 0.000 0.000 8.310
Cu 4.281 0.939 0.000
Cu 0.939 2.404 0.000
Cu 2.404 0.939 5.540
Cu -0.939 2.404 5.540
Pd 0.000 0.000 0.000
Pd 4.353 -1.010 1.736
Pd 2.332 -1.010 3.804
Pd 2.332 1.010 1.736
Pd 4.353 1.010 3.804
Pd 0.000 0.000 5.540
Pd -1.010 2.332 1.736
Pd 1.010 2.332 3.804
Pd 1.010 4.353 1.736
Pd -1.010 4.353 3.804
```

Space group: I4/mcm
Total magnetic moment: 0.0 Bohr magnetons per cell

***

Top of the stability list: (A), leading by 71 meV per atom.